# TbErC2 | Alexandria via LeMat-Bulk | PBE | relaxed
# symmetry = R-3m
# formation energy = 28 meV/atom
# N(E_F) = 1.1473 states/eV per atom
data_TbErC2
_chemical_formula_sum 'Tb3 Er3 C6'
_cell_length_a 3.590
_cell_length_b 3.590
_cell_length_c 17.539
_cell_angle_alpha 90.00
_cell_angle_beta 90.00
_cell_angle_gamma 120.00
_space_group_name_H-M_alt 'P 1'
_space_group_IT_number 1
loop_
_space_group_symop_operation_xyz
'x,y,z'
loop_
_atom_site_label
_atom_site_type_symbol
_atom_site_fract_x
_atom_site_fract_y
_atom_site_fract_z
Tb1 Tb 0.000 0.000 0.000
Tb2 Tb 0.333 0.667 0.667
Tb3 Tb 0.667 0.333 0.333
Er1 Er 0.000 0.000 0.500
Er2 Er 0.333 0.667 0.167
Er3 Er 0.667 0.333 0.833
C1 C 0.000 0.000 0.248
C2 C 0.000 0.000 0.752
C3 C 0.333 0.667 0.418
C4 C 0.333 0.667 0.915
C5 C 0.667 0.333 0.085
C6 C 0.667 0.333 0.582